Entry from Alexandria via LeMat-Bulk: a relaxed Ce5NdZn6 crystal (GGA-PBE).

V: 23.93 Å³ per atom
Formation energy from the elements: -192 meV/atom
Total moment: 0.298 μB per atom
Space group: Immm
Crystal system: orthorhombic
E_tot: -3.70 eV/atom

```
12
Lattice="-2.5588 3.6516 7.6823 2.5588 -3.6516 7.6823 2.5588 3.6516 -7.6823" Properties=species:S:1:pos:R:3 pbc="T T T"
Ce 0.0000 0.0000 0.0000
Ce 2.5588 0.0000 2.5478
Ce 0.0000 0.0000 5.0461
Ce 0.0000 0.0000 10.3184
Ce 0.0000 3.6516 5.1345
Nd 0.0000 3.6516 0.0000
Zn 2.5588 -1.8085 5.1362
Zn 2.5588 1.8492 0.0000
Zn 0.0000 1.8431 2.5461
Zn 2.5588 1.8085 5.1362
Zn 0.0000 1.8025 7.6823
Zn 0.0000 5.4601 2.5461
```